# 1
VASP calculation (PBE) on a geometry-optimized CeAlCd structure.

Geometry as POSCAR:
```
CeAlCd
1.0
-1.586 1.586 6.709
1.586 -1.586 6.709
1.586 1.586 -6.709
Ce Al Cd
1 1 1
direct
0.000 0.000 0.000
0.664 0.664 0.000
0.310 0.310 0.000
```

DFT formation energy = -0.146 eV/atom
Total energy = -11.03 eV for the cell shown



# 2
VASP calculation (PBE) on a geometry-optimized Pm3Cr5S12 structure.

Geometry as POSCAR:
```
Pm3Cr5S12
1.0
-7.508 7.508 7.508
7.508 -7.508 7.508
7.508 7.508 -7.508
Pm Cr S
12 20 48
direct
0.125 0.250 0.375
0.125 0.375 0.750
0.250 0.375 0.125
0.250 0.875 0.625
0.375 0.125 0.250
0.375 0.750 0.125
0.625 0.250 0.875
0.625 0.875 0.750
0.750 0.125 0.375
0.750 0.625 0.875
0.875 0.625 0.250
0.875 0.750 0.625
0.000 0.000 0.000
0.000 0.000 0.500
0.000 0.500 0.000
0.000 0.500 0.500
0.125 0.750 0.875
0.125 0.875 0.250
0.250 0.125 0.875
0.250 0.625 0.375
0.375 0.250 0.625
0.375 0.625 0.750
0.500 0.000 0.000
0.500 0.000 0.500
0.500 0.500 0.000
0.500 0.500 0.500
0.625 0.375 0.250
0.625 0.750 0.375
0.750 0.375 0.625
0.750 0.875 0.125
0.875 0.125 0.750
0.875 0.250 0.125
0.026 0.205 0.118
0.026 0.321 0.908
0.086 0.705 0.679
0.086 0.882 0.408
0.092 0.618 0.414
0.092 0.974 0.679
0.118 0.026 0.205
0.118 0.592 0.914
0.179 0.205 0.586
0.179 0.474 0.592
0.205 0.118 0.026
0.205 0.586 0.179
0.295 0.321 0.914
0.295 0.474 0.382
0.321 0.908 0.026
0.321 0.914 0.295
0.382 0.295 0.474
0.382 0.586 0.908
0.408 0.086 0.882
0.408 0.821 0.526
0.414 0.092 0.618
0.414 0.821 0.795
0.474 0.382 0.295
0.474 0.592 0.179
0.526 0.408 0.821
0.526 0.618 0.705
0.586 0.179 0.205
0.586 0.908 0.382
0.592 0.179 0.474
0.592 0.914 0.118
0.618 0.414 0.092
0.618 0.705 0.526
0.679 0.086 0.705
0.679 0.092 0.974
0.705 0.526 0.618
0.705 0.679 0.086
0.795 0.414 0.821
0.795 0.882 0.974
0.821 0.526 0.408
0.821 0.795 0.414
0.882 0.408 0.086
0.882 0.974 0.795
0.908 0.026 0.321
0.908 0.382 0.586
0.914 0.118 0.592
0.914 0.295 0.321
0.974 0.679 0.092
0.974 0.795 0.882
```

ΔE_f (raw) = -1085 meV/atom
Total energy = -534.37 eV for the cell shown



# 3
VASP calculation (PBE) on a geometry-optimized AcHoCdNi structure.

Geometry as POSCAR:
```
AcHoCdNi
1.0
0.000 3.744 3.744
3.744 0.000 3.744
3.744 3.744 0.000
Ac Ho Cd Ni
1 1 1 1
direct
0.000 0.000 0.000
0.500 0.500 0.500
0.750 0.750 0.750
0.250 0.250 0.250
```

DFT formation energy = -0.136 eV/atom
Total energy = -15.93 eV for the cell shown



# 4
VASP calculation (PBE) on a geometry-optimized Os2RhAu structure.

Geometry as POSCAR:
```
Os2RhAu
1.0
2.780 0.000 0.000
0.000 3.855 0.000
0.000 0.000 5.648
Os Rh Au
2 1 1
direct
0.000 0.000 0.000
0.500 0.500 0.212
0.000 0.000 0.465
0.500 0.500 0.722
```

Excess energy over the best structure of this formula in the dataset = 81.0 meV/atom
DFT formation energy = 0.296 eV/atom
Total energy = -31.90 eV for the cell shown



# 5
VASP calculation (PBE) on a geometry-optimized MgPaSb2 structure.

Geometry as POSCAR:
```
MgPaSb2
1.0
4.965 0.000 0.000
0.000 4.965 0.000
0.000 0.000 4.005
Mg Pa Sb
1 1 2
direct
0.000 0.000 0.000
0.500 0.500 0.000
0.000 0.500 0.500
0.500 0.000 0.500
```

Excess energy over the best structure of this formula in the dataset = 0.0 meV/atom
ΔE_f (raw) = -448 meV/atom
Total energy = -21.13 eV for the cell shown



# 6
VASP calculation (PBE) on a geometry-optimized KNa2InAu2 structure.

Geometry as POSCAR:
```
KNa2InAu2
1.0
4.930 0.000 0.000
0.000 8.557 0.000
0.000 0.000 7.866
K Na In Au
2 4 2 4
direct
0.000 0.072 0.000
0.000 0.928 0.500
0.000 0.332 0.352
0.000 0.668 0.852
0.500 0.427 0.024
0.500 0.573 0.524
0.500 0.199 0.654
0.500 0.801 0.154
0.000 0.349 0.721
0.000 0.651 0.221
0.500 0.117 0.296
0.500 0.883 0.796
```

DFT formation energy = -0.275 eV/atom
Total energy = -29.36 eV for the cell shown



> The lowest total energy belongs to which entry?

Pm3Cr5S12



Repeat the third record exactly.
VASP calculation (PBE) on a geometry-optimized AcHoCdNi structure.

Geometry as POSCAR:
```
AcHoCdNi
1.0
0.000 3.744 3.744
3.744 0.000 3.744
3.744 3.744 0.000
Ac Ho Cd Ni
1 1 1 1
direct
0.000 0.000 0.000
0.500 0.500 0.500
0.750 0.750 0.750
0.250 0.250 0.250
```

DFT formation energy = -0.136 eV/atom
Total energy = -15.93 eV for the cell shown